(1)
Entry from Alexandria via LeMat-Bulk: crystalline CdTe2Pb at its relaxed geometry (PBE).

a b c (Å): 4.493 4.493 6.334
angles (deg): 90.00 90.00 90.00
Positions (direct):
Cd: 0.000 0.000 0.000
Te: 0.000 0.000 0.500
Te: 0.500 0.500 0.000
Pb: 0.500 0.500 0.500

The space group is No. 123. For the raw total energy, the calculation gives -3.042 eV/atom. For the magnetization, the calculation gives 0.00 μB/f.u.

=====

(2)
Entry from Alexandria via LeMat-Bulk: crystalline Tb5Dy2Sc5 at its relaxed geometry (PBE).

a b c (Å): 6.378 6.378 11.578
angles (deg): 107.22 107.22 50.23
Positions (direct):
Tb: 0.000 0.000 0.000
Tb: 0.041 0.041 0.708
Tb: 0.252 0.252 0.243
Tb: 0.748 0.748 0.757
Tb: 0.959 0.959 0.292
Dy: 0.213 0.213 0.543
Dy: 0.787 0.787 0.457
Sc: 0.292 0.292 0.960
Sc: 0.459 0.459 0.800
Sc: 0.500 0.500 0.500
Sc: 0.541 0.541 0.200
Sc: 0.708 0.708 0.040

The formation energy is 8 kJ per mole of atoms. The space group is No. 12. For the magnetization, the calculation gives 0.00 μB/f.u. For the relative energy among the computed polymorphs, the calculation gives 0.031 eV/atom.

=====

- magnetization of number 2 (Tb5Dy2Sc5)?
  0.00 μB/f.u.

=====

- Look up the magnetization of the first one.
  0.00 μB/f.u.